1.
Below is a relaxed Mg2TcMo crystal, with properties calculated at the PBE level.

Cell: 2.8063 2.8063 9.4601 Å, 90.00 90.00 111.42°
Element x y z (fractional)
Mg: 0.0000 0.0000 0.0000
Mg: 0.5000 0.5000 0.2845
Tc: 0.5000 0.5000 0.7567
Mo: 0.0000 0.0000 0.5391


2.
Below is a relaxed Mg2TcMo crystal, with properties calculated at the PBE level.

Cell: 4.5093 4.5093 4.5093 Å, 120.08 120.08 89.87°
Element x y z (fractional)
Mg: 0.0000 0.0000 0.0000
Mg: 0.7500 0.2500 0.5000
Tc: 0.5000 0.5000 0.0000
Mo: 0.2500 0.7500 0.5000


Final energy for the records above, in order: -5.913; -5.928 eV/atom